1.
# CaDy2ScAs4

A geometry-optimized CaDy2ScAs4 structure (PBE, Alexandria).

Its formation energy is -1.309 eV per atom. The total DFT energy (no corrections) is -46.6 eV/cell.

The space group is P2/m (No. 10) and the conventional cell measures 7.0465, 4.0763 and 7.1202 Å, with angles of 90.00, 109.32 and 90.00 degrees. The distinct sites, in fractional coordinates, are Ca at (0.0000, 0.0000, 0.0000), Dy at (0.5000, 0.0000, 0.5000), Dy at (0.5000, 0.5000, 0.0000), Sc at (0.0000, 0.5000, 0.5000), As at (0.2420, 0.0000, 0.7379) and As at (0.2499, 0.5000, 0.2609).

2.
# Hg2HCl6

A geometry-optimized Hg2HCl6 structure (PBE, Alexandria).

The total DFT energy (no corrections) is -37.6 eV/cell.

The space group is P-1 (No. 2) and the conventional cell measures 8.0985, 8.1938 and 11.0363 Å, with angles of 97.13, 95.48 and 115.78 degrees. The distinct sites, in fractional coordinates, are Hg at (0.0835, 0.2764, 0.2791), Hg at (0.3819, 0.6896, 0.6988), H at (0.4698, 0.1852, 0.7736), Cl at (0.0746, 0.7676, 0.5536), Cl at (0.1592, 0.5326, 0.8153), Cl at (0.2529, 0.2960, 0.1177), Cl at (0.3948, 0.1476, 0.4209), Cl at (0.4341, 0.0779, 0.8569) and Cl at (0.4662, 0.6215, 0.3555).

3.
# RbTbTe4

A geometry-optimized RbTbTe4 structure (PBE, Alexandria).

The total DFT energy (no corrections) is -47.6 eV/cell.

The space group is P4/nbm (No. 125, origin choice 2) and the conventional cell measures 6.8774, 6.8774 and 9.2508 Å, with angles of 90.00, 90.00 and 90.00 degrees. The distinct sites, in fractional coordinates, are Rb at (0.2500, 0.2500, 0.0000), Tb at (0.2500, 0.2500, 0.5000) and Te at (0.1040, 0.6040, 0.3003).

4.
# NdAgTe3Pb

A geometry-optimized NdAgTe3Pb structure (PBE, Alexandria).

The total DFT energy (no corrections) is -50.5 eV/cell.

The space group is P2_1/m (No. 11) and the conventional cell measures 9.2311, 4.3387 and 9.9251 Å, with angles of 90.00, 99.98 and 90.00 degrees. The distinct sites, in fractional coordinates, are Nd at (0.1665, 0.2500, 0.2384), Ag at (0.0778, 0.2500, 0.5803), Te at (0.0871, 0.2500, 0.8735), Te at (0.2447, 0.7500, 0.4863), Te at (0.3937, 0.7500, 0.1522) and Pb at (0.3412, 0.7500, 0.8303).

5.
# Pm8Ir3PtI4

A geometry-optimized Pm8Ir3PtI4 structure (PBE, Alexandria).

The total DFT energy (no corrections) is -279.4 eV/cell.

The space group is R-3m (No. 166, hexagonal axes) and the conventional cell measures 8.4267, 8.4267 and 24.1374 Å, with angles of 90.00, 90.00 and 120.00 degrees. The distinct sites, in fractional coordinates, are Pm at (0.0000, 0.0000, 0.2280), Pm at (0.0065, 0.5032, 0.7721), Ir at (0.0000, 0.5000, 0.5000), Pt at (0.0000, 0.0000, 0.5000), I at (0.0000, 0.0000, 0.0000) and I at (0.0000, 0.5000, 0.0000).

6.
# AgPd7Au3

A geometry-optimized AgPd7Au3 structure (PBE, Alexandria).

Its formation energy is 0.047 eV per atom. The total DFT energy (no corrections) is -48.5 eV/cell.

The space group is P1 (No. 1) and the conventional cell measures 4.9027, 5.6859 and 7.3818 Å, with angles of 101.23, 97.82 and 106.59 degrees. The distinct sites, in fractional coordinates, are Ag at (0.0000, 0.0000, 0.0000), Pd at (0.4930, 0.0743, 0.8240), Pd at (0.4950, 0.5742, 0.8245), Pd at (0.5041, 0.9120, 0.1597), Pd at (0.5140, 0.4083, 0.1578), Pd at (0.9926, 0.1590, 0.6539), Pd at (0.9925, 0.8238, 0.3276), Pd at (0.9942, 0.6545, 0.6547), Au at (0.0044, 0.4924, 0.9979), Au at (0.4856, 0.7331, 0.4858) and Au at (0.4871, 0.2413, 0.4837).

7.
# LiGd2Ag

A geometry-optimized LiGd2Ag structure (PBE, Alexandria).

Its formation energy is -0.094 eV per atom. The value obtained for the distance to the lowest polymorph of the same formula is 0.009 eV per atom. The total DFT energy (no corrections) is -133.2 eV/cell.

The space group is Fm-3m (No. 225) and the conventional cell measures 7.3602, 7.3602 and 7.3602 Å, with angles of 90.00, 90.00 and 90.00 degrees. The distinct sites, in fractional coordinates, are Li at (0.0000, 0.0000, 0.0000), Gd at (0.2500, 0.2500, 0.2500) and Ag at (0.0000, 0.0000, 0.5000).

8.
# NaInRe3

A geometry-optimized NaInRe3 structure (PBE, Alexandria).

Its formation energy is 2.906 eV per atom. The value obtained for the distance to the lowest polymorph of the same formula is 0.000 eV per atom. The total DFT energy (no corrections) is -26.9 eV/cell.

The space group is Pm-3m (No. 221) and the conventional cell measures 4.5500, 4.5500 and 4.5500 Å, with angles of 90.00, 90.00 and 90.00 degrees. The distinct sites, in fractional coordinates, are Na at (0.0000, 0.0000, 0.0000), In at (0.5000, 0.5000, 0.5000) and Re at (0.0000, 0.0000, 0.5000).

9.
# TmFe10B2

A geometry-optimized TmFe10B2 structure (PBE, Alexandria).

Its formation energy is -0.070 eV per atom. The total DFT energy (no corrections) is -413.5 eV/cell.

The space group is Cmcm (No. 63) and the conventional cell measures 8.1326, 9.1534 and 7.8649 Å, with angles of 90.00, 90.00 and 90.00 degrees. The distinct sites, in fractional coordinates, are Tm at (0.0000, 0.1157, 0.2500), Fe at (0.0000, 0.1652, 0.5935), Fe at (0.0000, 0.3865, 0.0739), Fe at (0.1430, 0.3850, 0.7500), Fe at (0.2317, 0.0000, 0.0000), Fe at (0.2422, 0.3544, 0.2500) and B at (0.2500, 0.2500, 0.0000).

10.
# Rb2UBr4F2

A geometry-optimized Rb2UBr4F2 structure (PBE, Alexandria).

The total DFT energy (no corrections) is -86.3 eV/cell.

The space group is C2/m (No. 12) and the conventional cell measures 12.3712, 8.1634 and 5.9828 Å, with angles of 90.00, 100.64 and 90.00 degrees. The distinct sites, in fractional coordinates, are Rb at (0.1706, 0.0000, 0.3219), U at (0.0000, 0.5000, 0.0000), Br at (0.1051, 0.2454, 0.7939) and F at (0.1341, 0.5000, 0.2682).

11.
# Ta2AlBi

A geometry-optimized Ta2AlBi structure (PBE, Alexandria).

Its formation energy is 0.562 eV per atom. The value obtained for the distance to the lowest polymorph of the same formula is 0.047 eV per atom. The total DFT energy (no corrections) is -116.3 eV/cell.

The space group is I-42d (No. 122) and the conventional cell measures 4.0845, 4.0845 and 20.3924 Å, with angles of 90.00, 90.00 and 90.00 degrees. The distinct sites, in fractional coordinates, are Ta at (0.2301, 0.2500, 0.1250), Al at (0.0000, 0.0000, 0.0000) and Bi at (0.0000, 0.0000, 0.5000).

12.
# Nd3Ga4Ge2

A geometry-optimized Nd3Ga4Ge2 structure (PBE, Alexandria).

Its formation energy is -0.710 eV per atom. The total DFT energy (no corrections) is -84.1 eV/cell.

The space group is C2/m (No. 12) and the conventional cell measures 11.2973, 4.2488 and 8.5102 Å, with angles of 90.00, 100.63 and 90.00 degrees. The distinct sites, in fractional coordinates, are Nd at (0.0000, 0.0000, 0.0000), Nd at (0.1674, 0.5000, 0.6655), Ga at (0.0502, 0.0000, 0.3856), Ga at (0.2287, 0.5000, 0.0577) and Ge at (0.1121, 0.5000, 0.2764).